# 1
Material: Cs2TlSb2
Method: DFT, GGA-PBE
State: optimized geometry

Cell and atoms, written as POSCAR:
```
Cs2TlSb2
1.0
-4.874 -1.345 3.266
0.833 -5.576 4.493
0.876 6.544 9.549
Tl Sb Cs
2 4 4
Cartesian
0.248 -1.254 10.948
-3.413 0.877 6.361
0.782 -4.233 4.970
-3.947 3.856 12.338
-3.201 -1.553 11.224
0.036 1.176 6.084
-1.977 0.894 14.057
-1.188 -1.271 3.251
-1.504 1.998 9.671
-1.661 -2.374 7.637
```

Properties
space-group type: C2/m, No. 12
energy relative to the lowest polymorph listed for this composition: 0.00 eV/f.u.

***

# 2
Material: CsCeTe2O8
Method: DFT, GGA-PBE
State: optimized geometry

Cell and atoms, written as POSCAR:
```
CsCeTe2O8
1.0
-5.796 1.146 1.750
3.487 -3.899 3.256
2.807 6.644 4.950
O Ce Cs Te
8 1 1 2
Cartesian
3.047 4.064 7.434
-0.401 1.956 2.828
-3.270 2.554 3.653
2.085 3.270 4.661
3.769 1.336 6.302
-1.586 0.620 5.294
0.900 1.934 7.127
-2.549 -0.174 2.521
1.404 3.322 2.475
0.000 0.000 0.000
-1.963 1.212 3.554
2.462 2.678 6.401
```

Properties
total DFT energy (no corrections): -0.43858 Ry/atom
space-group type: P-3, No. 147

***

# 3
Material: ZrFe2Br
Method: DFT, GGA-PBE
State: optimized geometry

Cell and atoms, written as POSCAR:
```
ZrFe2Br
1.0
5.016 0.149 0.181
3.915 3.138 0.181
1.400 0.515 4.641
Br Zr Fe
1 1 2
Cartesian
7.405 2.725 3.554
5.035 1.853 2.708
2.939 1.082 0.921
0.118 0.043 0.321
```

Properties
space-group type: Cm, No. 8
energy relative to the lowest polymorph listed for this composition: 1.18 eV/f.u.

***

# 4
Material: TbDy6Er3Th2
Method: DFT, GGA-PBE
State: optimized geometry

Cell and atoms, written as POSCAR:
```
TbDy6Er3Th2
1.0
6.140 0.002 -0.003
-3.067 5.319 -0.003
-1.018 -1.763 11.557
Th Er Dy Tb
2 3 6 1
Cartesian
3.071 1.774 -0.003
0.002 3.547 -0.003
-2.043 3.552 5.775
4.098 0.005 5.775
1.027 1.779 5.775
2.070 0.007 2.878
0.014 0.025 8.674
3.084 1.761 8.673
-1.029 1.797 2.878
-0.016 3.551 8.673
2.041 3.533 2.877
0.000 0.000 0.000
```

Properties
space-group type: C2/m, No. 12
formation enthalpy at 0 K: 0.03 eV per atom

***

# 5
Material: Tm3OsN
Method: DFT, GGA-PBE
State: optimized geometry

Cell and atoms, written as POSCAR:
```
Tm3OsN
1.0
-4.010 -1.356 1.789
1.595 -4.298 0.317
1.580 0.897 4.221
Os Tm N
1 3 1
Cartesian
-0.418 -2.378 3.164
-2.005 -0.678 0.895
0.797 -2.149 0.158
0.790 0.449 2.111
0.000 0.000 0.000
```

Properties
total DFT energy (no corrections): -0.53533 Ry/atom
space-group type: Pm-3m, No. 221

***

# 6
Material: TeSe8
Method: DFT, GGA-PBE
State: optimized geometry

Cell and atoms, written as POSCAR:
```
TeSe8
1.0
4.942 -3.357 5.601
-5.625 5.889 -0.862
-5.214 -6.296 -0.483
Se Te
8 1
Cartesian
-3.151 3.725 0.651
-2.601 -2.355 0.884
-8.086 -0.304 -1.003
-3.296 -1.409 3.373
-0.069 -2.452 1.300
-2.753 -0.103 -0.341
2.468 -1.193 4.088
-0.203 -7.202 3.819
0.000 0.000 0.000
```

Properties
total DFT energy (no corrections): -0.24021 Ry/atom
space-group type: I4/mmm, No. 139

***

Repeat the first record exactly.
Material: Cs2TlSb2
Method: DFT, GGA-PBE
State: optimized geometry

Cell and atoms, written as POSCAR:
```
Cs2TlSb2
1.0
-4.874 -1.345 3.266
0.833 -5.576 4.493
0.876 6.544 9.549
Tl Sb Cs
2 4 4
Cartesian
0.248 -1.254 10.948
-3.413 0.877 6.361
0.782 -4.233 4.970
-3.947 3.856 12.338
-3.201 -1.553 11.224
0.036 1.176 6.084
-1.977 0.894 14.057
-1.188 -1.271 3.251
-1.504 1.998 9.671
-1.661 -2.374 7.637
```

Properties
space-group type: C2/m, No. 12
energy relative to the lowest polymorph listed for this composition: 0.00 eV/f.u.